! BaFeO2 PBE with a Hubbard U optimized geometry; values from VASP
&SYSTEM
  ibrav = 0, nat = 4, ntyp = 3
/
ATOMIC_SPECIES
O 16.00 O.upf
Ba 137.33 Ba.upf
Fe 55.84 Fe.upf
CELL_PARAMETERS angstrom
-6.653 2.365 0.542
-5.847 1.756 3.589
-4.974 4.526 2.221
ATOMIC_POSITIONS crystal
O 0.879 0.879 0.879
O 0.121 0.121 0.121
Ba 0.000 0.000 0.000
Fe 0.500 0.500 0.500
! calculated total energy = -0.183 Ha/atom
! M_tot = 0.29 μB per atom
! space group = R-3m